1.
A geometry-optimized Ac2Tb2Er structure. Source: the Alexandria database, functional PBE-GGA.

```
5
Lattice="-4.055 -1.170 2.483 0.668 -4.718 -1.130 6.176 1.938 6.171" Properties=species:S:1:pos:R:3 pbc="T T T"
Ac 2.575 -2.861 2.858
Tb 3.663 -0.822 5.595
Er 0.000 0.000 0.000
Ac 0.214 -1.087 4.665
Tb -0.874 -3.127 1.928
```

Calculated values
Uncorrected energy, eV/atom: -3.901
Energy of formation, kJ/mol of formula units: 244.4
Volume, Å³ per atom: 39.54

2.
A geometry-optimized NpUSbRu structure. Source: the Alexandria database, functional PBE-GGA.

```
4
Lattice="4.897 0.000 0.000 2.448 4.241 0.000 2.448 1.414 3.998" Properties=species:S:1:pos:R:3 pbc="T T T"
Sb 0.000 0.000 0.000
U 4.897 2.827 1.999
Np 2.448 1.414 1.000
Ru 7.345 4.241 2.999
```

Calculated values
Uncorrected energy, eV/atom: -9.389
Energy relative to the elements, uncorrected, meV/atom: 18
Volume, Å³ per atom: 20.76

3.
A geometry-optimized KTi3Fe structure. Source: the Alexandria database, functional PBE-GGA.

```
5
Lattice="4.404 0.000 0.000 0.000 4.404 0.000 0.000 0.000 4.404" Properties=species:S:1:pos:R:3 pbc="T T T"
Fe 2.202 2.202 2.202
K 0.000 0.000 0.000
Ti 0.000 0.000 2.202
Ti 2.202 0.000 0.000
Ti 0.000 2.202 0.000
```

Calculated values
Uncorrected energy, eV/atom: -4.395
Energy of formation, kJ/mol of formula units: 1087.2
Volume, Å³ per atom: 17.09

4.
A geometry-optimized Na2SrPd structure. Source: the Alexandria database, functional PBE-GGA.

```
8
Lattice="4.577 0.004 0.000 -2.283 5.395 0.000 0.000 0.000 9.721" Properties=species:S:1:pos:R:3 pbc="T T T"
Na 2.291 1.745 4.308
Pd 0.006 2.691 2.430
Pd 2.287 2.708 7.291
Na 2.291 1.745 0.553
Sr 2.292 4.836 2.430
Sr 0.001 0.563 7.291
Na 0.002 3.654 9.168
Na 0.002 3.654 5.413
```

Calculated values
Uncorrected energy, eV/atom: -2.566
Energy of formation, kJ/mol of formula units: -72.4
Volume, Å³ per atom: 30.01

5.
A geometry-optimized Nb3Tl2Br9 structure. Source: the Alexandria database, functional PBE-GGA.

```
28
Lattice="-9.536 3.487 -2.000 1.709 -9.994 -2.072 -5.757 -4.840 7.004" Properties=species:S:1:pos:R:3 pbc="T T T"
Br -0.630 -7.189 -2.057
Br -4.451 -6.091 -2.753
Br -9.133 -5.255 5.685
Nb -1.597 -1.334 0.378
Nb -6.914 -3.862 5.546
Nb -5.011 -6.144 5.533
Nb -8.573 -5.202 -2.602
Br -6.778 -8.078 5.670
Nb -11.986 -10.012 2.554
Br -9.592 -3.425 -0.565
Tl -10.381 -5.021 2.185
Br -5.093 -8.818 -0.594
Br -9.839 -8.218 2.049
Br -3.745 -3.128 0.883
Nb -6.670 -7.484 -2.614
Tl -3.202 -6.325 0.747
Br -7.298 -6.085 -0.478
Tl -6.791 -9.326 2.162
Br -12.438 -1.330 2.742
Br -8.490 -2.528 3.525
Br -6.805 -3.268 -2.738
Br -10.058 0.669 0.247
Br -7.196 0.682 -2.015
Br -6.285 -5.261 3.409
Tl -6.793 -2.021 0.770
Br -3.525 -12.015 2.685
Br -1.145 -10.017 0.190
Br -3.992 -7.921 3.496
```

Calculated values
Uncorrected energy, eV/atom: -4.472
Energy relative to the elements, uncorrected, meV/atom: -901
Volume, Å³ per atom: 31.95

6.
A geometry-optimized ZrInSi3 structure. Source: the Alexandria database, functional PBE-GGA.

```
5
Lattice="5.124 0.000 0.000 0.000 5.124 0.000 0.000 0.000 5.124" Properties=species:S:1:pos:R:3 pbc="T T T"
Zr 0.000 0.000 0.000
In 2.562 2.562 2.562
Si 0.000 0.000 2.562
Si 2.562 0.000 0.000
Si 0.000 2.562 0.000
```

Calculated values
Uncorrected energy, eV/atom: -4.881
Energy relative to the elements, uncorrected, meV/atom: 630
Volume, Å³ per atom: 26.91

7.
A geometry-optimized Nb6CrTc5 structure. Source: the Alexandria database, functional PBE-GGA.

```
12
Lattice="4.310 0.020 -1.255 -0.874 5.593 -2.913 -0.063 0.422 7.787" Properties=species:S:1:pos:R:3 pbc="T T T"
Tc 1.103 2.152 3.802
Tc 2.707 1.086 1.274
Nb 1.434 4.646 4.965
Nb 3.043 3.580 2.458
Nb 3.483 0.763 3.925
Tc -0.437 2.797 -1.456
Tc 0.666 4.948 2.345
Cr 0.000 0.000 0.000
Nb 1.939 1.389 -1.346
Nb 0.330 2.454 1.161
Nb -0.110 5.272 -0.306
Tc 2.270 3.883 -0.183
```

Calculated values
Uncorrected energy, eV/atom: -10.446
Energy of formation, kJ/mol of formula units: -336.2
Volume, Å³ per atom: 16.10

8.
A geometry-optimized Tb2Er7Tc2 structure. Source: the Alexandria database, functional PBE-GGA.

```
11
Lattice="-1.556 -1.255 -2.913 -4.456 -8.889 4.067 -9.961 -1.388 3.775" Properties=species:S:1:pos:R:3 pbc="T T T"
Tb -3.611 -3.542 1.312
Er -10.509 -2.329 2.330
Er -6.972 -2.423 2.624
Er -6.413 -5.747 1.615
Tc -5.560 -7.385 4.008
Er -3.976 -1.612 -1.468
Tb -11.463 -9.214 3.663
Er -8.509 -7.217 3.368
Tc -8.849 -4.591 2.418
Er -13.296 -8.150 6.326
Er -11.472 -5.743 2.173
```

Calculated values
Uncorrected energy, eV/atom: -5.557
Energy of formation, kJ/mol of formula units: 77.7
Volume, Å³ per atom: 28.46

9.
A geometry-optimized AcS8 structure. Source: the Alexandria database, functional PBE-GGA.

```
9
Lattice="4.694 0.000 1.223 2.347 7.666 0.611 0.414 0.000 8.029" Properties=species:S:1:pos:R:3 pbc="T T T"
S 3.549 4.540 5.616
S 3.905 3.126 4.248
S 3.198 0.000 6.962
S 1.202 3.126 5.005
S 2.347 1.735 0.611
S 4.694 5.930 1.223
S 1.559 4.540 3.636
Ac 0.000 0.000 0.000
S 1.909 0.000 2.291
```

Calculated values
Uncorrected energy, eV/atom: -3.983
Energy relative to the elements, uncorrected, meV/atom: 142
Volume, Å³ per atom: 31.67

10.
A geometry-optimized MgAlGaCu structure. Source: the Alexandria database, functional PBE-GGA.

```
4
Lattice="-2.219 1.686 0.888 -1.719 -1.182 -2.050 -2.143 -5.404 4.914" Properties=species:S:1:pos:R:3 pbc="T T T"
Cu -2.259 -1.942 -0.552
Mg -3.336 -4.655 1.920
Al -2.061 0.623 -0.107
Ga -2.988 -1.712 2.018
```

Calculated values
Uncorrected energy, eV/atom: -3.203
Energy of formation, kJ/mol of formula units: -33.9
Volume, Å³ per atom: 16.28